(1)
LaPr4Nd5: relaxed, GGA-PBE.

Lattice parameters (Å, degrees): 3.666 10.817 9.488 85.11 101.14 90.00
Fractional coordinates of all 10 atoms:
Pr 0.046 0.245 0.092
Nd 0.807 0.597 0.614
Pr 0.316 0.911 0.633
Pr 0.684 0.089 0.367
Nd 0.500 0.500 0.000
Pr 0.954 0.755 0.908
La 0.500 0.000 0.000
Nd 0.141 0.756 0.283
Nd 0.859 0.244 0.717
Nd 0.193 0.403 0.386

Crystal system   monoclinic
Distance to the lowest polymorph of the same formula   30 meV/atom
Space-group type   C2/m (12)

=====

(2)
La4Pr6Nd: relaxed, GGA-PBE.

Lattice parameters (Å, degrees): 6.855 6.855 9.851 110.36 110.36 90.00
Fractional coordinates of all 11 atoms:
La 0.717 0.039 0.756
Pr 0.133 0.133 0.636
Pr 0.497 0.867 0.364
Pr 0.503 0.503 0.636
La 0.961 0.961 0.244
La 0.283 0.283 0.244
Pr 0.500 0.000 0.000
La 0.039 0.717 0.756
Nd 0.500 0.500 0.000
Pr 0.000 0.500 0.000
Pr 0.867 0.497 0.364

Crystal system   tetragonal
Distance to the lowest polymorph of the same formula   0 meV/atom
Space-group type   I-42m (121)

=====

(3)
La3Pr2Nd5: relaxed, GGA-PBE.

Lattice parameters (Å, degrees): 10.335 10.284 11.372 129.32 129.42 66.47
Fractional coordinates of all 20 atoms:
Nd 0.477 0.727 0.454
Nd 0.734 0.484 0.968
Nd 0.620 0.874 0.254
Nd 0.987 0.237 0.473
Pr 0.471 0.724 0.748
Nd 0.266 0.516 0.032
La 0.226 0.976 0.951
Nd 0.867 0.621 0.746
La 0.971 0.221 0.750
La 0.774 0.024 0.049
La 0.279 0.530 0.750
Nd 0.013 0.763 0.527
Nd 0.133 0.379 0.254
Pr 0.776 0.024 0.748
Nd 0.523 0.273 0.546
Pr 0.224 0.976 0.252
Pr 0.529 0.276 0.252
La 0.721 0.470 0.250
La 0.029 0.779 0.250
Nd 0.380 0.126 0.746

Crystal system   monoclinic
DFT total energy   -4.659 eV/atom
Space-group type   C2/c (15)

=====

(4)
La2PrNd: relaxed, GGA-PBE.

Lattice parameters (Å, degrees): 3.728 6.420 6.420 108.84 90.00 90.00
Fractional coordinates of all 4 atoms:
La 0.000 0.000 0.500
Nd 0.500 0.500 0.500
La 0.000 0.500 0.000
Pr 0.500 0.000 0.000

Crystal system   orthorhombic
Distance to the lowest polymorph of the same formula   7 meV/atom
Space-group type   Cmmm (65)

=====

(5)
La4PrNd2: relaxed, GGA-PBE.

Lattice parameters (Å, degrees): 7.004 9.266 9.266 79.27 67.80 67.80
Fractional coordinates of all 14 atoms:
La 0.787 0.244 0.744
Nd 0.280 0.970 0.470
Nd 0.720 0.030 0.530
La 0.855 0.145 0.146
Nd 0.500 0.000 0.000
Pr 0.500 0.500 0.000
La 0.855 0.646 0.645
Pr 0.000 0.500 0.000
La 0.225 0.244 0.744
La 0.145 0.855 0.854
La 0.775 0.756 0.256
La 0.213 0.756 0.256
Nd 0.500 0.500 0.500
La 0.145 0.354 0.355

Crystal system   orthorhombic
Distance to the lowest polymorph of the same formula   32 meV/atom
Space-group type   Imma (74)

=====

(6)
LaPr7Nd5: relaxed, GGA-PBE.

Lattice parameters (Å, degrees): 6.888 9.030 9.030 79.51 67.58 67.58
Fractional coordinates of all 13 atoms:
Nd 0.753 0.747 0.747
Nd 0.993 0.006 0.544
Nd 0.993 0.544 0.006
La 0.033 0.967 0.967
Nd 0.457 0.006 0.544
Pr 0.421 0.579 0.579
Nd 0.457 0.544 0.006
Pr 0.981 0.694 0.343
Pr 0.241 0.259 0.259
Pr 0.981 0.343 0.694
Pr 0.483 0.848 0.187
Pr 0.724 0.276 0.276
Pr 0.483 0.187 0.848

Crystal system   orthorhombic
DFT total energy   -4.584 eV/atom
Space-group type   Imm2 (44)

=====

| no. | ρ (g cm⁻³) |
| --- | --- |
| 1 | 6.43 |
| 2 | 6.37 |
| 3 | 6.53 |
| 4 | 6.43 |
| 5 | 6.35 |
| 6 | 6.39 |